1.
# LaLuMgRh, optimized geometry, DFT GGA-PBE
# **DFT formation energy**: -0.361 eV/atom
# **Total magnetic moment**: 0.000 μB per atom
# **Crystal system**: cubic
data_LaLuMgRh
_chemical_formula_sum 'La4 Lu4 Mg4 Rh4'
_symmetry_space_group_name_H-M 'F -4 3 m'
_symmetry_Int_Tables_number 216
_symmetry_space_group_name_Hall 'F -4 2 3'
_cell_length_a 7.2598
_cell_length_b 7.2598
_cell_length_c 7.2598
_cell_angle_alpha 90.00
_cell_angle_beta 90.00
_cell_angle_gamma 90.00
loop_
_atom_site_label
_atom_site_type_symbol
_atom_site_fract_x
_atom_site_fract_y
_atom_site_fract_z
_atom_site_occupancy
La1 La 0.0000 0.0000 0.0000 1
Lu1 Lu 0.0000 0.0000 0.5000 1
Mg1 Mg 0.2500 0.2500 0.7500 1
Rh1 Rh 0.2500 0.2500 0.2500 1

2.
# CdGa2As, optimized geometry, DFT GGA-PBE
# **DFT formation energy**: 0.068 eV/atom
# **Total magnetic moment**: 0.000 μB per atom
# **Energy above the lowest structure with this stoichiometry**: 0 meV/atom
# **Crystal system**: tetragonal
data_CdGa2As
_chemical_formula_sum 'Cd4 Ga8 As4'
_symmetry_space_group_name_H-M 'I -4 2 d'
_symmetry_Int_Tables_number 122
_symmetry_space_group_name_Hall 'I -4 2bw'
_cell_length_a 6.4384
_cell_length_b 6.4384
_cell_length_c 10.3898
_cell_angle_alpha 90.00
_cell_angle_beta 90.00
_cell_angle_gamma 90.00
loop_
_atom_site_label
_atom_site_type_symbol
_atom_site_fract_x
_atom_site_fract_y
_atom_site_fract_z
_atom_site_occupancy
Cd1 Cd 0.0000 0.0000 0.0000 1
Ga1 Ga 0.2207 0.2500 0.6250 1
As1 As 0.0000 0.0000 0.5000 1